Compound: CuNi2RhO6
Source: Alexandria
Functional: GGA+U
Structure: optimized geometry

Calculated values
Energy: -49.5 eV/cell
N(E_F): 5.62 states/eV/f.u.

a = 5.632 Å, b = 5.632 Å, c = 3.933 Å
α = 90.00°, β = 90.00°, γ = 90.00°
Sites, in units of the cell vectors:
Cu 0.000 0.000 0.000
Ni 0.000 0.500 0.190
Ni 0.500 0.000 0.190
Rh 0.500 0.500 0.984
O 0.000 0.000 0.525
O 0.255 0.255 0.090
O 0.255 0.745 0.090
O 0.500 0.500 0.530
O 0.745 0.255 0.090
O 0.745 0.745 0.090